[1]
{
  "formula": "Th6Ir4Pd",
  "functional": "PBE",
  "state": "relaxed",
  "cell": [[-0.569, -3.482, 2.093], [-0.187, -1.706, -6.909], [20.755, -3.245, 0.239]],
  "species": ["Th", "Th", "Ir", "Th", "Th", "Pd", "Ir", "Th", "Th", "Th", "Pd", "Ir", "Ir", "Ir", "Th", "Ir", "Th", "Ir", "Th", "Th", "Ir", "Th"],
  "frac_coords": [[0.231, 0.462, 0.584], [0.769, 0.538, 0.416], [0.136, 0.271, 0.456], [0.500, 0.000, 0.000], [0.041, 0.081, 0.163], [0.342, 0.685, 0.750], [0.864, 0.729, 0.956], [0.316, 0.632, 0.250], [0.684, 0.368, 0.750], [0.231, 0.462, 0.916], [0.658, 0.315, 0.250], [0.404, 0.807, 0.371], [0.864, 0.729, 0.544], [0.596, 0.193, 0.629], [0.500, 0.000, 0.500], [0.404, 0.807, 0.129], [0.041, 0.081, 0.337], [0.136, 0.271, 0.044], [0.959, 0.919, 0.837], [0.959, 0.919, 0.663], [0.596, 0.193, 0.871], [0.769, 0.538, 0.084]]
}

[2]
{
  "formula": "LiCa2Ac2",
  "functional": "PBE",
  "state": "relaxed",
  "cell": [[4.923, 0.000, -0.759], [-0.117, 4.921, -0.759], [-0.964, -0.987, 10.088]],
  "species": ["Li", "Ac", "Ca", "Ac", "Ca"],
  "frac_coords": [[0.000, 0.000, 0.000], [0.750, 0.250, 0.500], [0.407, 0.407, 0.814], [0.250, 0.750, 0.500], [0.593, 0.593, 0.186]]
}

| no. | formation energy from the elements (meV per atom) | DOS at the Fermi energy (states/eV per atom) | M_tot (μB/cell) |
| --- | --- | --- | --- |
| 1 | -855.0 | 0.65 | 0.00 |
| 2 | 437.6 | 1.35 | 0.00 |